The following is a PBE calculation of a relaxed structure of NbSnN2O, from Alexandria.

Lattice parameters (Å, degrees): 4.150 4.150 4.029 90.00 90.00 90.00
Fractional coordinates of all 5 atoms:
Nb 0.000 0.000 0.000
Sn 0.500 0.500 0.500
N 0.000 0.500 0.000
N 0.500 0.000 0.000
O 0.000 0.000 0.500

E_form (uncorrected) = -0.416 eV/atom
volume = 69.4 Å³ per cell
Fermi-level density of states = 2.921 states/eV/cell